VASP calculation (GGA-PBE) on SrBe2Co after structural relaxation.

Cell lengths 3.7465, 5.4786, 7.0621 Å; angles 90.00, 90.00, 90.00 degrees
Closest atoms and distances in Å follow each position.
Element x y z (fractional)
Sr 0.0000 0.0000 0.0000  8 Be 2.94-3.09
Sr 0.5000 0.5000 0.5000  8 Be 2.94-3.09
Be 0.0000 0.5000 0.1521  1 Be 2.15, 2 Co 2.16
Be 0.0000 0.5000 0.8479  1 Be 2.15, 2 Co 2.16
Be 0.5000 0.0000 0.3479  1 Be 2.15, 2 Co 2.16
Be 0.5000 0.0000 0.6521  1 Be 2.15, 2 Co 2.16
Co 0.0000 0.0000 0.5000  4 Be 2.16
Co 0.5000 0.5000 0.0000  4 Be 2.16

Energy in eV/atom: -3.50
Energy relative to the elements in eV per atom: 0.561
Energy above the most stable polymorph in this dataset in meV per atom: 510
Space-group type: Immm, No. 71
Crystal system: orthorhombic


VASP calculation (GGA-PBE) on Ho5SbPd2 after structural relaxation.

Cell lengths 8.7279, 8.7279, 8.7279 Å; angles 127.50, 127.50, 77.44 degrees
Closest atoms and distances in Å follow each position.
Element x y z (fractional)
Ho 0.0000 0.0000 0.0000  4 Pd 3.00
Ho 0.0135 0.5135 0.8127  3 Pd 2.98-2.99, 2 Sb 3.26
Ho 0.2009 0.0135 0.5000  3 Pd 2.98-2.99, 2 Sb 3.26
Ho 0.2991 0.7991 0.8127  3 Pd 2.98-2.99, 2 Sb 3.26
Ho 0.4865 0.2991 0.5000  3 Pd 2.98-2.99, 2 Sb 3.26
Ho 0.5000 0.5000 0.0000  4 Pd 3.00
Ho 0.5135 0.7009 0.5000  3 Pd 2.98-2.99, 2 Sb 3.26
Ho 0.7009 0.2009 0.1873  3 Pd 2.98-2.99, 2 Sb 3.26
Ho 0.7991 0.9865 0.5000  3 Pd 2.98-2.99, 2 Sb 3.26
Ho 0.9865 0.4865 0.1873  3 Pd 2.98-2.99, 2 Sb 3.26
Sb 0.2500 0.2500 0.0000  10 Ho 3.26-3.40
Sb 0.7500 0.7500 0.0000  10 Ho 3.26-3.40
Pd 0.1365 0.3635 0.5000  1 Pd 2.98, 8 Ho 2.98-3.00
Pd 0.3635 0.8635 0.2271  1 Pd 2.98, 8 Ho 2.98-3.00
Pd 0.6365 0.1365 0.7729  1 Pd 2.98, 8 Ho 2.98-3.00
Pd 0.8635 0.6365 0.5000  1 Pd 2.98, 8 Ho 2.98-3.00

Energy in eV/atom: -5.45
ΔE_f (raw) in eV per atom: -0.78
Space-group type: I4/mcm, No. 140
Crystal system: tetragonal


VASP calculation (GGA-PBE) on La2AgAs2 after structural relaxation.

Cell lengths 3.9694, 3.9694, 17.2488 Å; angles 90.00, 90.00, 90.00 degrees
Closest atoms and distances in Å follow each position.
Element x y z (fractional)
La 0.0000 0.0000 0.1116  4 As 3.11, 4 Ag 3.40
La 0.0000 0.0000 0.8884  4 As 3.11, 4 Ag 3.40
La 0.5000 0.5000 0.3884  4 As 3.11, 4 Ag 3.40
La 0.5000 0.5000 0.6116  4 As 3.11, 4 Ag 3.40
Ag 0.0000 0.0000 0.5000  8 La 3.40
Ag 0.5000 0.5000 0.0000  8 La 3.40
As 0.0000 0.5000 0.2500  4 As 2.81, 4 La 3.11
As 0.0000 0.5000 0.7500  4 As 2.81, 4 La 3.11
As 0.5000 0.0000 0.2500  4 As 2.81, 4 La 3.11
As 0.5000 0.0000 0.7500  4 As 2.81, 4 La 3.11

Energy in eV/atom: -4.97
Energy relative to the elements in eV per atom: -0.572
Energy above the most stable polymorph in this dataset in meV per atom: 450
Space-group type: I4/mmm, No. 139
Crystal system: tetragonal


VASP calculation (GGA-PBE) on LiAgS2 after structural relaxation.

Cell lengths 3.7925, 3.7925, 21.8215 Å; angles 90.00, 90.00, 120.00 degrees
Closest atoms and distances in Å follow each position.
Element x y z (fractional)
Li 0.0000 0.0000 0.0000  2 S 2.29
Li 0.3333 0.6667 0.6667  2 S 2.29
Li 0.6667 0.3333 0.3333  2 S 2.29
Ag 0.0000 0.0000 0.5000  6 S 2.57
Ag 0.3333 0.6667 0.1667  6 S 2.57
Ag 0.6667 0.3333 0.8333  6 S 2.57
S 0.0000 0.0000 0.1051  1 Li 2.29
S 0.0000 0.0000 0.8949  1 Li 2.29
S 0.3333 0.6667 0.5616  1 Li 2.29
S 0.3333 0.6667 0.7718  1 Li 2.29
S 0.6667 0.3333 0.2282  1 Li 2.29
S 0.6667 0.3333 0.4384  1 Li 2.29

Energy in eV/atom: -3.32
ΔE_f (raw) in eV per atom: -0.07
Energy above the most stable polymorph in this dataset in meV per atom: 127
Space-group type: R-3m, No. 166
Crystal system: trigonal


VASP calculation (GGA-PBE) on SmDy2Zr after structural relaxation.

Cell lengths 3.4720, 3.4720, 33.8483 Å; angles 90.00, 90.00, 120.00 degrees
Closest atoms and distances in Å follow each position.
Element x y z (fractional)
Sm 0.0000 0.0000 0.0000  6 Sm 3.47, 6 Dy 3.61-3.62
Sm 0.3333 0.6667 0.6667  6 Sm 3.47, 6 Dy 3.61-3.62
Sm 0.6667 0.3333 0.3333  6 Sm 3.47, 6 Dy 3.61-3.62
Dy 0.0000 0.0000 0.2445  3 Zr 3.31, 6 Dy 3.47, 3 Sm 3.61
Dy 0.0000 0.0000 0.4224  3 Zr 3.31, 6 Dy 3.47, 3 Sm 3.62
Dy 0.3333 0.6667 0.0891  3 Zr 3.31, 6 Dy 3.47, 3 Sm 3.62
Dy 0.3333 0.6667 0.9112  3 Zr 3.31, 6 Dy 3.47, 3 Sm 3.61
Dy 0.6667 0.3333 0.5779  3 Zr 3.31, 6 Dy 3.47, 3 Sm 3.61
Dy 0.6667 0.3333 0.7557  3 Zr 3.31, 6 Dy 3.47, 3 Sm 3.62
Zr 0.0000 0.0000 0.8335  6 Dy 3.31, 6 Zr 3.47
Zr 0.3333 0.6667 0.5002  6 Dy 3.31, 6 Zr 3.47
Zr 0.6667 0.3333 0.1669  6 Dy 3.31, 6 Zr 3.47

Energy in eV/atom: -5.54
Energy relative to the elements in eV per atom: 0.081
Energy above the most stable polymorph in this dataset in meV per atom: 0
Space-group type: R3m, No. 160
Crystal system: trigonal


VASP calculation (GGA-PBE) on LaPd8Pb2 after structural relaxation.

Cell lengths 8.1535, 8.1535, 5.0655 Å; angles 107.92, 107.92, 124.17 degrees
Closest atoms and distances in Å follow each position.
Element x y z (fractional)
La 0.0000 0.0000 0.0000  4 Pd 2.79-3.05
Pd 0.0998 0.3765 0.7306  7 Pd 2.74-3.01, 3 Pb 2.93-3.06
Pd 0.1934 0.8066 0.0000  1 La 2.79, 6 Pd 2.85-3.01, 4 Pb 2.88-3.11
Pd 0.3765 0.0998 0.7306  7 Pd 2.74-3.01, 3 Pb 2.93-3.06
Pd 0.4840 0.4840 0.2328  6 Pd 2.53-2.83
Pd 0.5160 0.5160 0.7672  6 Pd 2.53-2.83
Pd 0.6235 0.9002 0.2694  7 Pd 2.74-3.01, 3 Pb 2.93-3.06
Pd 0.8066 0.1934 0.0000  1 La 2.79, 6 Pd 2.85-3.01, 4 Pb 2.88-3.11
Pd 0.9002 0.6235 0.2694  7 Pd 2.74-3.01, 3 Pb 2.93-3.06
Pb 0.3181 0.6819 0.5000  12 Pd 2.88-3.11
Pb 0.6819 0.3181 0.5000  12 Pd 2.88-3.11

Energy in eV/atom: -5.25
Energy relative to the elements in eV per atom: -0.352
Space-group type: C2/m, No. 12
Crystal system: monoclinic


VASP calculation (GGA-PBE) on BaSc2Zn2 after structural relaxation.

Cell lengths 8.5819, 8.5819, 3.2531 Å; angles 90.00, 90.00, 90.00 degrees
Closest atoms and distances in Å follow each position.
Element x y z (fractional)
Ba 0.0000 0.0000 0.0000  2 Ba 3.25, 4 Sc 3.39, 8 Zn 3.59
Ba 0.5000 0.5000 0.0000  2 Ba 3.25, 4 Sc 3.39, 8 Zn 3.59
Sc 0.1258 0.3742 0.0000  6 Zn 3.00-3.01, 3 Sc 3.05-3.25
Sc 0.3742 0.8742 0.0000  6 Zn 3.00-3.01, 3 Sc 3.05-3.25
Sc 0.6258 0.1258 0.0000  6 Zn 3.00-3.01, 3 Sc 3.05-3.25
Sc 0.8742 0.6258 0.0000  6 Zn 3.00-3.01, 3 Sc 3.05-3.25
Zn 0.1670 0.6670 0.5000  6 Sc 3.00-3.01, 2 Zn 3.25
Zn 0.3330 0.1670 0.5000  6 Sc 3.00-3.01, 2 Zn 3.25
Zn 0.6670 0.8330 0.5000  6 Sc 3.00-3.01, 2 Zn 3.25
Zn 0.8330 0.3330 0.5000  6 Sc 3.00-3.01, 2 Zn 3.25

Energy in eV/atom: -3.49
Energy relative to the elements in eV per atom: -0.062
Energy above the most stable polymorph in this dataset in meV per atom: 0
Space-group type: P4/mbm, No. 127
Crystal system: tetragonal


VASP calculation (GGA-PBE) on KMgCl3 after structural relaxation.

Cell lengths 9.0018, 3.8461, 14.5801 Å; angles 90.00, 90.00, 90.00 degrees
Closest atoms and distances in Å follow each position.
Element x y z (fractional)
K 0.0567 0.2500 0.1773  8 Cl 3.22-3.42
K 0.4433 0.7500 0.6773  8 Cl 3.22-3.42
K 0.5567 0.2500 0.3227  8 Cl 3.22-3.42
K 0.9433 0.7500 0.8227  8 Cl 3.22-3.42
Mg 0.1631 0.7500 0.4478  6 Cl 2.42-2.61
Mg 0.3369 0.2500 0.9478  6 Cl 2.42-2.61
Mg 0.6631 0.7500 0.0522  6 Cl 2.42-2.61
Mg 0.8369 0.2500 0.5522  6 Cl 2.42-2.61
Cl 0.0180 0.7500 0.5973  3 Mg 2.54-2.61
Cl 0.1778 0.7500 0.0073  2 Mg 2.55
Cl 0.2267 0.2500 0.7961  1 Mg 2.42
Cl 0.2733 0.7500 0.2961  1 Mg 2.42
Cl 0.3222 0.2500 0.5073  2 Mg 2.55
Cl 0.4820 0.2500 0.0973  3 Mg 2.54-2.61
Cl 0.5180 0.7500 0.9027  3 Mg 2.54-2.61
Cl 0.6778 0.7500 0.4927  2 Mg 2.55
Cl 0.7267 0.2500 0.7039  1 Mg 2.42
Cl 0.7733 0.7500 0.2039  1 Mg 2.42
Cl 0.8222 0.2500 0.9927  2 Mg 2.55
Cl 0.9820 0.2500 0.4027  3 Mg 2.54-2.61

Energy in eV/atom: -3.56
ΔE_f (raw) in eV per atom: -1.91
Space-group type: Pnma, No. 62
Crystal system: orthorhombic


VASP calculation (GGA-PBE) on TmTaBe10 after structural relaxation.

Cell lengths 3.4570, 4.5794, 7.8386 Å; angles 90.00, 90.00, 90.00 degrees
Closest atoms and distances in Å follow each position.
Element x y z (fractional)
Tm 0.0000 0.0000 0.0000  18 Be 2.68-2.97
Ta 0.0000 0.5000 0.5000  14 Be 2.53-2.74
Be 0.0000 0.0000 0.3511  7 Be 2.09-2.33
Be 0.0000 0.0000 0.6489  7 Be 2.09-2.33
Be 0.0000 0.5000 0.1775  6 Be 2.16-2.22
Be 0.0000 0.5000 0.8225  6 Be 2.16-2.22
Be 0.5000 0.0000 0.5000  8 Be 2.09-2.18
Be 0.5000 0.2618 0.2671  8 Be 2.16-2.40
Be 0.5000 0.2618 0.7329  8 Be 2.16-2.40
Be 0.5000 0.5000 0.0000  8 Be 2.22-2.36
Be 0.5000 0.7382 0.2671  8 Be 2.16-2.40
Be 0.5000 0.7382 0.7329  8 Be 2.16-2.40

Energy in eV/atom: -4.64
Energy relative to the elements in eV per atom: -0.177
Space-group type: Pmmm, No. 47
Crystal system: orthorhombic


VASP calculation (GGA-PBE) on KScSi2O6 after structural relaxation.

Cell lengths 7.7423, 7.7423, 5.4395 Å; angles 102.17, 102.17, 95.23 degrees
Closest atoms and distances in Å follow each position.
Element x y z (fractional)
K 0.0935 0.9065 0.7500  2 O 2.58
K 0.9065 0.0935 0.2500  2 O 2.58
Sc 0.2479 0.7521 0.2500  4 O 1.96-2.00
Sc 0.7521 0.2479 0.7500  4 O 1.96-2.00
Si 0.2117 0.3700 0.8100  4 O 1.62-1.66
Si 0.3700 0.2117 0.3100  4 O 1.62-1.66
Si 0.6300 0.7883 0.6900  4 O 1.62-1.66
Si 0.7883 0.6300 0.1900  4 O 1.62-1.66
O 0.0072 0.2640 0.7292  1 Si 1.64
O 0.2250 0.5830 0.9174  1 Si 1.62
O 0.2640 0.0072 0.2292  1 Si 1.64
O 0.2868 0.3254 0.5426  2 Si 1.66
O 0.3254 0.2868 0.0426  2 Si 1.66
O 0.4170 0.7750 0.5826  1 Si 1.62
O 0.5830 0.2250 0.4174  1 Si 1.62
O 0.6746 0.7132 0.9574  2 Si 1.66
O 0.7132 0.6746 0.4574  2 Si 1.66
O 0.7360 0.9928 0.7708  1 Si 1.64
O 0.7750 0.4170 0.0826  1 Si 1.62
O 0.9928 0.7360 0.2708  1 Si 1.64

Energy in eV/atom: -7.59
ΔE_f (raw) in eV per atom: -2.79
Space-group type: C2/c, No. 15
Crystal system: monoclinic


Q: energy of number 4 (LiAgS2)?
A: -3.32 eV/atom